The following is a GGA-PBE calculation of an optimized crystal structure of Ca3NpU2P6, from the Alexandria database.

The structure in CIF format:
```
data_Ca3NpU2P6
_chemical_formula_sum 'Ca6 Np2 U4 P12'
_cell_length_a 6.974
_cell_length_b 12.080
_cell_length_c 7.042
_cell_angle_alpha 90.00
_cell_angle_beta 109.26
_cell_angle_gamma 90.00
_symmetry_space_group_name_H-M 'C 1 2/m 1'
_symmetry_Int_Tables_number 12
loop_
_symmetry_equiv_pos_as_xyz
'x,y,z'
'-x,-y,-z'
'-x,y,-z'
'x,-y,z'
'x+1/2,y+1/2,z'
'-x+1/2,-y+1/2,-z'
'-x+1/2,y+1/2,-z'
'x+1/2,-y+1/2,z'
loop_
_atom_site_label
_atom_site_type_symbol
_atom_site_fract_x
_atom_site_fract_y
_atom_site_fract_z
Ca1 Ca 0.000 0.000 0.000
Ca2 Ca 0.000 0.334 0.000
Np1 Np 0.000 0.500 0.500
U1 U 0.000 0.167 0.500
P1 P 0.239 0.000 0.727
P2 P 0.244 0.332 0.727
```

Output
E_form: -1.0434 eV/atom
E: -7.208 eV/atom
Fermi-level density of states: 34.6 states/eV per cell



The following is a GGA-PBE calculation of an optimized crystal structure of Ca2YNpP4, from the Alexandria database.

The structure in CIF format:
```
data_Ca2YNpP4
_chemical_formula_sum 'Ca2 Y1 Np1 P4'
_cell_length_a 6.977
_cell_length_b 4.065
_cell_length_c 7.032
_cell_angle_alpha 90.00
_cell_angle_beta 109.18
_cell_angle_gamma 90.00
_symmetry_space_group_name_H-M 'P 1 2/m 1'
_symmetry_Int_Tables_number 10
loop_
_symmetry_equiv_pos_as_xyz
'x,y,z'
'-x,-y,-z'
'-x,y,-z'
'x,-y,z'
loop_
_atom_site_label
_atom_site_type_symbol
_atom_site_fract_x
_atom_site_fract_y
_atom_site_fract_z
Ca1 Ca 0.000 0.000 0.000
Ca2 Ca 0.500 0.500 0.000
Y1 Y 0.000 0.500 0.500
Np1 Np 0.500 0.000 0.500
P1 P 0.256 0.000 0.729
P2 P 0.267 0.500 0.274
```

Output
E_form: -1.1481 eV/atom
E: -6.779 eV/atom
Fermi-level density of states: 5.9 states/eV per cell



The following is a GGA-PBE calculation of an optimized crystal structure of Ca2NpPaS6, from the Alexandria database.

The structure in CIF format:
```
data_Ca2NpPaS6
_chemical_formula_sum 'Ca2 Np1 Pa1 S6'
_cell_length_a 7.488
_cell_length_b 7.488
_cell_length_c 5.308
_cell_angle_alpha 90.00
_cell_angle_beta 90.00
_cell_angle_gamma 90.00
_symmetry_space_group_name_H-M 'P 4 m m'
_symmetry_Int_Tables_number 99
loop_
_symmetry_equiv_pos_as_xyz
'x,y,z'
'-y,x,z'
'-x,-y,z'
'y,-x,z'
'-x,y,z'
'y,x,z'
'x,-y,z'
'-y,-x,z'
loop_
_atom_site_label
_atom_site_type_symbol
_atom_site_fract_x
_atom_site_fract_y
_atom_site_fract_z
Ca1 Ca 0.000 0.500 0.000
Np1 Np 0.000 0.000 0.740
Pa1 Pa 0.500 0.500 0.743
S1 S 0.000 0.000 0.244
S2 S 0.253 0.253 0.791
S3 S 0.500 0.500 0.255
```

Output
Energy relative to the elements, uncorrected: -15.07 eV/f.u.
E: -6.627 eV/atom
Fermi-level density of states: 11.4 states/eV per cell



Q: E of number 3 (Ca2NpPaS6)?
A: -6.627 eV/atom



Q: Which of these has the lowest Fermi-level density of states?
A: Ca2YNpP4



Q: Among the records above, which one has the lowest Fermi-level density of states?
A: Ca2YNpP4



Q: The highest E belongs to which entry?
A: Ca2NpPaS6